# 1
Density functional theory data (PBE with a Hubbard U) for an optimized crystal structure of Ba2MnNbO6.

The total magnetization comes out at 16.0 Bohr magnetons per cell. Its total energy is -7.660 eV per atom.

The structure belongs to space group Pnma (No. 62); the cell edges are 11.7617, 8.0801 and 5.9009 Å and the angles 90.00°, 90.00° and 90.00°. Symmetry generates all atoms from Ba at (0.1253, 0.9996, 0.2390), Mn at (0.1259, 0.2500, 0.7392), Nb at (0.1249, 0.7500, 0.7362), O at (0.0013, 0.7500, 0.4818), O at (0.0068, 0.7500, 0.9684), O at (0.1257, 0.0024, 0.7315), O at (0.2469, 0.7500, 0.9597) and O at (0.2498, 0.2500, 0.9727).

# 2
Density functional theory data (PBE with a Hubbard U) for an optimized crystal structure of BaMnNbO2.

Its density of states at the Fermi level is 3.7 states/eV/f.u. The total magnetization comes out at 1.9 Bohr magnetons per cell. Its total energy is -5.137 eV per atom.

The structure belongs to space group P4/mmm (No. 123); the cell edges are 4.5478, 4.5478 and 6.4301 Å and the angles 90.00°, 90.00° and 90.00°. Symmetry generates all atoms from Ba at (0.0000, 0.0000, 0.0000), Mn at (0.0000, 0.0000, 0.5000), Nb at (0.5000, 0.5000, 0.5000) and O at (0.0000, 0.5000, 0.0000).

# 3
Density functional theory data (PBE with a Hubbard U) for an optimized crystal structure of Ba2MnNbO6.

Its density of states at the Fermi level is 0.9 states/eV/f.u. The total magnetization comes out at 32.0 Bohr magnetons per cell. Its total energy is -7.649 eV per atom.

The structure belongs to space group I4_1/amd (No. 141, origin choice 2); the cell edges are 8.2138, 8.2138 and 16.5612 Å and the angles 90.00°, 90.00° and 90.00°. Symmetry generates all atoms from Ba at (0.2496, 0.0000, 0.0000), Mn at (0.0000, 0.2500, 0.3750), Mn at (0.0000, 0.2500, 0.8750), Nb at (0.0000, 0.2500, 0.1241), O at (0.0000, 0.0010, 0.3723), O at (0.0000, 0.0068, 0.1217), O at (0.0000, 0.2500, 0.2417) and O at (0.0000, 0.2500, 0.7549).

# 4
Density functional theory data (PBE with a Hubbard U) for an optimized crystal structure of BaMnNb2O6.

Its density of states at the Fermi level is 3.1 states/eV/f.u. The total magnetization comes out at 21.5 Bohr magnetons per cell. Its total energy is -8.214 eV per atom.

The structure belongs to space group Fm-3m (No. 225); the cell edges are 8.1923, 8.1923 and 8.1923 Å and the angles 90.00°, 90.00° and 90.00°. Symmetry generates all atoms from Ba at (0.0000, 0.0000, 0.0000), Mn at (0.0000, 0.0000, 0.5000), Nb at (0.2500, 0.2500, 0.2500) and O at (0.0000, 0.2500, 0.2500).

# 5
Density functional theory data (PBE with a Hubbard U) for an optimized crystal structure of Ba2MnNbO6.

The total magnetization comes out at 16.0 Bohr magnetons per cell. Its total energy is -7.660 eV per atom.

The structure belongs to space group C2/c (No. 15); the cell edges are 9.9827, 5.8997 and 10.0053 Å and the angles 90.00°, 107.95° and 90.00°. Symmetry generates all atoms from Ba at (0.1250, 0.2435, 0.1254), Mn at (0.2500, 0.2500, 0.5000), Nb at (0.0000, 0.2611, 0.7500), O at (0.1188, 0.0336, 0.8710), O at (0.1265, 0.2671, 0.6242) and O at (0.1264, 0.4791, 0.3730).

# 6
Density functional theory data (PBE with a Hubbard U) for an optimized crystal structure of Ba4MnNb3O12.

Its density of states at the Fermi level is 7.5 states/eV/f.u. The total magnetization comes out at 1.5 Bohr magnetons per cell. Its total energy is -7.792 eV per atom.

The structure belongs to space group Im-3m (No. 229); the cell edges are 8.2302, 8.2302 and 8.2302 Å and the angles 90.00°, 90.00° and 90.00°. Symmetry generates all atoms from Ba at (0.2500, 0.2500, 0.2500), Mn at (0.0000, 0.0000, 0.0000), Nb at (0.0000, 0.0000, 0.5000), O at (0.0000, 0.0000, 0.2526) and O at (0.0000, 0.2500, 0.5000).

# 7
Density functional theory data (PBE with a Hubbard U) for an optimized crystal structure of Ba3Mn2NbO9.

Its density of states at the Fermi level is 2.2 states/eV/f.u. The total magnetization comes out at 7.0 Bohr magnetons per cell. Its total energy is -7.373 eV per atom.

The structure belongs to space group P-3m1 (No. 164); the cell edges are 5.7548, 5.7548 and 7.0522 Å and the angles 90.00°, 90.00° and 120.00°. Symmetry generates all atoms from Ba at (0.0000, 0.0000, 0.0000), Ba at (0.3333, 0.6667, 0.6752), Mn at (0.3333, 0.6667, 0.1600), Nb at (0.0000, 0.0000, 0.5000), O at (0.0000, 0.5000, 0.0000) and O at (0.1661, 0.3322, 0.3343).

# 8
Density functional theory data (PBE with a Hubbard U) for an optimized crystal structure of BaMnNb4O12.

Its density of states at the Fermi level is 0.0 states/eV/f.u. The total magnetization comes out at 9.9 Bohr magnetons per cell. Its total energy is -8.523 eV per atom.

The structure belongs to space group Amm2 (No. 38); the cell edges are 7.9895, 7.8176 and 8.0527 Å and the angles 90.00°, 90.00° and 90.00°. Symmetry generates all atoms from Ba at (0.0000, 0.0000, 0.0000), Mn at (0.5000, 0.0000, 0.5346), Nb at (0.2560, 0.2467, 0.2577), O at (0.0000, 0.2150, 0.2732), O at (0.2201, 0.0000, 0.7490), O at (0.2569, 0.2165, 0.0255), O at (0.3128, 0.0000, 0.3281) and O at (0.5000, 0.1936, 0.7447).

# 9
Density functional theory data (PBE with a Hubbard U) for an optimized crystal structure of Ba2MnNbO6.

Its density of states at the Fermi level is 0.0 states/eV/f.u. The total magnetization comes out at 8.0 Bohr magnetons per cell. Its total energy is -7.657 eV per atom.

The structure belongs to space group I4/mmm (No. 139); the cell edges are 5.6852, 5.6852 and 8.6742 Å and the angles 90.00°, 90.00° and 90.00°. Symmetry generates all atoms from Ba at (0.0000, 0.5000, 0.2500), Mn at (0.0000, 0.0000, 0.0000), Nb at (0.0000, 0.0000, 0.5000), O at (0.0000, 0.0000, 0.2694) and O at (0.2460, 0.2460, 0.0000).